Record 1
! Mg2ZnIn (PBEsol, relaxed); values from VASP
! Energy of formation from the pure elements: -25 kJ/mol of formula units
! Total energy: -2.06 eV/atom
&SYSTEM
  ibrav = 0, nat = 4, ntyp = 3
/
ATOMIC_SPECIES
In 114.82 In.upf
Mg 24.30 Mg.upf
Zn 65.41 Zn.upf
ATOMIC_POSITIONS angstrom
In 1.1892 -2.7440 2.7175
Mg 3.9759 -1.6709 2.0722
Mg 1.2147 -0.5105 0.6331
Zn -1.4061 -1.6533 1.3648
CELL_PARAMETERS angstrom
-1.3248 0.4155 2.8770
-1.4874 -3.7220 -0.1473
5.1906 -2.1814 2.7052

=====

Record 2
! Cr2CdW (PBEsol, relaxed); values from VASP
! Energy of formation from the pure elements: 157 kJ/mol of formula units
! Total energy: -8.47 eV/atom
&SYSTEM
  ibrav = 0, nat = 4, ntyp = 3
/
ATOMIC_SPECIES
W 183.84 W.upf
Cr 52.00 Cr.upf
Cd 112.41 Cd.upf
ATOMIC_POSITIONS angstrom
W -1.9038 -4.0083 -1.2237
Cr -1.0185 -2.0841 0.1657
Cr -2.7819 -5.6922 0.4526
Cd -0.0035 -0.1202 -1.5328
CELL_PARAMETERS angstrom
-1.9535 0.8273 -1.6026
1.9464 -1.0676 -1.4630
-3.8005 -7.7763 0.6184

=====

Record 3
! GaP2NO (PBEsol, relaxed); values from VASP
! ΔE_f (raw): 350 kJ/mol of formula units
! Total energy: -5.01 eV/atom
&SYSTEM
  ibrav = 0, nat = 5, ntyp = 4
/
ATOMIC_SPECIES
P 30.97 P.upf
Ga 69.72 Ga.upf
O 16.00 O.upf
N 14.01 N.upf
ATOMIC_POSITIONS angstrom
P -0.0411 -1.9379 0.4985
P -1.9979 0.0117 -0.1190
Ga -2.1413 -1.4703 2.1435
O -0.1024 0.4559 1.7640
N 0.0000 0.0000 0.0000
CELL_PARAMETERS angstrom
-0.2048 0.9119 3.5280
-3.9957 0.0235 -0.2380
-0.0822 -3.8759 0.9970

=====

Record 4
! ZrTa2Tc (PBEsol, relaxed); values from VASP
! Energy of formation from the pure elements: 49 kJ/mol of formula units
! Offset from the most stable computed form: 1.34 eV per formula unit
! Total energy: -11.24 eV/atom
&SYSTEM
  ibrav = 0, nat = 4, ntyp = 3
/
ATOMIC_SPECIES
Ta 180.95 Ta.upf
Tc 98.00 Tc.upf
Zr 91.22 Zr.upf
ATOMIC_POSITIONS angstrom
Ta 0.8635 1.6344 2.4042
Ta 1.8904 4.5225 6.7981
Tc 1.3769 3.0784 4.6011
Zr 0.0000 0.0000 0.0000
CELL_PARAMETERS angstrom
-1.8278 2.1559 1.1072
-1.3688 -0.3997 2.6797
5.9505 4.4007 5.4153

=====

> Among the records above, which one has the lowest total energy?

ZrTa2Tc

=====

> The lowest total energy belongs to which entry?

ZrTa2Tc

=====

> Number 4 is which compound?

ZrTa2Tc

=====

> What is the total energy in the second record?

-8.47 eV/atom